[1]
An optimized crystal structure of K2SeBr, computed with PBEsol.

The structure belongs to space group Amm2 (No. 38); the cell edges are 5.7371, 3.3282 and 12.3922 Å and the angles 90.00°, 90.00° and 90.00°. The distinct sites, in fractional coordinates, are K at (0.0000, 0.0000, 0.0000), K at (0.5000, 0.0000, 0.2314), Se at (0.5000, 0.0000, 0.4934) and Br at (0.0000, 0.0000, 0.7367).

For the formation energy from raw total energies, the calculation gives -1.083 eV/atom. The calculation puts the total energy at -3.0800 eV/atom.

***

[2]
An optimized crystal structure of KTiSeBr2, computed with PBEsol.

The structure belongs to space group P4/mmm (No. 123); the cell edges are 5.5536, 5.5536 and 5.6140 Å and the angles 90.00°, 90.00° and 90.00°. The distinct sites, in fractional coordinates, are K at (0.0000, 0.0000, 0.0000), Ti at (0.5000, 0.5000, 0.5000), Se at (0.0000, 0.0000, 0.5000) and Br at (0.0000, 0.5000, 0.0000).

For the formation energy from raw total energies, the calculation gives 0.424 eV/atom. The energy above the most stable polymorph in this dataset is 780 kJ/mol of formula units. The calculation puts the total energy at -2.9849 eV/atom.

***

[3]
An optimized crystal structure of KTiSe2Br, computed with PBEsol.

The structure belongs to space group P4/mmm (No. 123); the cell edges are 5.3909, 5.3909 and 5.4803 Å and the angles 90.00°, 90.00° and 90.00°. The distinct sites, in fractional coordinates, are K at (0.0000, 0.0000, 0.0000), Ti at (0.5000, 0.5000, 0.5000), Se at (0.0000, 0.5000, 0.0000) and Br at (0.0000, 0.0000, 0.5000).

For the formation energy from raw total energies, the calculation gives 0.780 eV/atom. The calculation puts the total energy at -3.0254 eV/atom.

***

[4]
An optimized crystal structure of KTiSeBr2, computed with PBEsol.

The structure belongs to space group P4/mmm (No. 123); the cell edges are 5.2418, 5.2418 and 4.9056 Å and the angles 90.00°, 90.00° and 90.00°. The distinct sites, in fractional coordinates, are K at (0.0000, 0.0000, 0.0000), Ti at (0.5000, 0.5000, 0.5000), Se at (0.5000, 0.5000, 0.0000) and Br at (0.0000, 0.5000, 0.5000).

For the formation energy from raw total energies, the calculation gives -1.193 eV/atom. The energy above the most stable polymorph in this dataset is 0 kJ/mol of formula units. The calculation puts the total energy at -4.6025 eV/atom.

***

[5]
An optimized crystal structure of KYSeBr2, computed with PBEsol.

The structure belongs to space group P4/mmm (No. 123); the cell edges are 5.5713, 5.5713 and 5.4103 Å and the angles 90.00°, 90.00° and 90.00°. The distinct sites, in fractional coordinates, are K at (0.0000, 0.0000, 0.0000), Y at (0.5000, 0.5000, 0.5000), Se at (0.5000, 0.5000, 0.0000) and Br at (0.0000, 0.5000, 0.5000).

For the formation energy from raw total energies, the calculation gives -1.666 eV/atom. The calculation puts the total energy at -4.7750 eV/atom.

***

[6]
An optimized crystal structure of KSiBr2, computed with PBEsol.

The structure belongs to space group I-4m2 (No. 119); the cell edges are 4.2055, 4.2055 and 13.0357 Å and the angles 90.00°, 90.00° and 90.00°. The distinct sites, in fractional coordinates, are K at (0.0000, 0.0000, 0.0000), Si at (0.0000, 0.5000, 0.2500), Br at (0.0000, 0.0000, 0.5000) and Br at (0.0000, 0.5000, 0.7500).

For the formation energy from raw total energies, the calculation gives -0.340 eV/atom. The energy above the most stable polymorph in this dataset is 0 kJ/mol of formula units. The calculation puts the total energy at -2.9950 eV/atom.

***

Among the records above, which one has the highest formation energy from raw total energies?
KTiSe2Br

***

Which value of formation energy from raw total energies does entry 6 give?
-0.340 eV/atom